(1)
Tb2Dy3Ho7 | Alexandria | PBE | optimized geometry; ρ = 8.6 Mg/m³; density of states at the Fermi level = 17.24 states/eV/f.u.; ΔE to the lowest computed polymorph = 0.000 eV per atom; energy of formation from the pure elements = 0.079 eV/atom
1.0
6.2754 0.0000 0.0000
0.0000 3.4896 0.0000
-1.8566 0.0000 17.1829
Tb Dy Ho
2 3 7
Direct
0.0600 0.0000 0.1731 Tb
0.9400 0.0000 0.8269 Tb
0.4502 0.5000 0.8419 Dy
0.5000 0.0000 0.5000 Dy
0.5498 0.5000 0.1581 Dy
0.0000 0.5000 0.5000 Ho
0.2252 0.0000 0.6672 Ho
0.2550 0.0000 0.9986 Ho
0.2743 0.5000 0.3347 Ho
0.7257 0.5000 0.6653 Ho
0.7450 0.0000 0.0014 Ho
0.7748 0.0000 0.3328 Ho


(2)
HSBr2 | Alexandria | PBE | optimized geometry; ρ = 4.0 Mg/m³; density of states at the Fermi level = 2.96 states/eV/f.u.; ΔE to the lowest computed polymorph = 0.305 eV per atom
1.0
6.3616 0.0000 0.0000
0.0000 6.3616 0.0000
0.0000 0.0000 7.9763
H S Br
4 4 8
Direct
0.0000 0.0000 0.0000 H
0.0000 0.5000 0.2500 H
0.5000 0.0000 0.7500 H
0.5000 0.5000 0.5000 H
0.0000 0.0000 0.5000 S
0.0000 0.5000 0.7500 S
0.5000 0.0000 0.2500 S
0.5000 0.5000 0.0000 S
0.1772 0.7500 0.1250 Br
0.2500 0.1772 0.8750 Br
0.2500 0.3228 0.3750 Br
0.3228 0.7500 0.6250 Br
0.6772 0.2500 0.6250 Br
0.7500 0.6772 0.3750 Br
0.7500 0.8228 0.8750 Br
0.8228 0.2500 0.1250 Br